(1)
Material: AsP2S8
Method: DFT, PBE
State: optimized geometry

Structure (CIF):
```
data_AsP2S8
_space_group_name_H-M_alt 'P 1'
_space_group_IT_number 1
_cell_length_a 5.868
_cell_length_b 7.961
_cell_length_c 7.961
_cell_angle_alpha 105.65
_cell_angle_beta 79.39
_cell_angle_gamma 79.39
loop_
_space_group_symop_operation_xyz
'x,y,z'
loop_
_atom_site_label
_atom_site_type_symbol
_atom_site_fract_x
_atom_site_fract_y
_atom_site_fract_z
As1 As 0.000 0.000 0.000
P1 P 0.292 0.227 0.227
P2 P 0.708 0.773 0.773
S1 S 0.819 0.985 0.725
S2 S 0.181 0.275 0.015
S3 S 0.634 0.237 0.237
S4 S 0.366 0.763 0.763
S5 S 0.819 0.725 0.985
S6 S 0.181 0.015 0.275
S7 S 0.187 0.462 0.462
S8 S 0.813 0.538 0.538
```

## Properties
E_tot in eV per atom: -4.4409
DOS(E_F) in states/eV/cell: 7.0
Symmetry: C2/m
Uncorrected formation energy in eV/atom: -0.033

---

(2)
Material: Th2Zn3GaPt4
Method: DFT, PBE
State: optimized geometry

Structure (CIF):
```
data_Th2Zn3GaPt4
_space_group_name_H-M_alt 'P 1'
_space_group_IT_number 1
_cell_length_a 4.191
_cell_length_b 4.191
_cell_length_c 10.902
_cell_angle_alpha 90.00
_cell_angle_beta 90.00
_cell_angle_gamma 90.00
loop_
_space_group_symop_operation_xyz
'x,y,z'
loop_
_atom_site_label
_atom_site_type_symbol
_atom_site_fract_x
_atom_site_fract_y
_atom_site_fract_z
Th1 Th 0.500 0.000 0.248
Th2 Th 0.000 0.500 0.752
Zn1 Zn 0.000 0.000 0.500
Zn2 Zn 0.500 0.000 0.868
Zn3 Zn 0.000 0.500 0.132
Ga1 Ga 0.500 0.500 0.500
Pt1 Pt 0.500 0.500 0.000
Pt2 Pt 0.000 0.000 0.000
Pt3 Pt 0.500 0.000 0.641
Pt4 Pt 0.000 0.500 0.359
```

## Properties
E_tot in eV per atom: -5.3757
DOS(E_F) in states/eV/cell: 7.2
Symmetry: P-4m2
Formation enthalpy at 0 K in kJ per mole of atoms: -76